## A
Below is an optimized crystal structure of SrEr2Ag, with properties calculated at the PBE level.

## Properties
* size of the total moment: 0.000 μB per formula unit

abc: 11.495 11.495 11.495
angles: 18.47 18.47 18.47
Sites, in units of the cell vectors:
Sr 0.000 0.000 0.000
Er 0.104 0.104 0.104
Er 0.896 0.896 0.896
Ag 0.500 0.500 0.500

***

## B
Below is an optimized crystal structure of SrEr2Ag, with properties calculated at the PBE level.

## Properties
* size of the total moment: 0.000 μB per formula unit

abc: 3.653 3.653 9.597
angles: 90.00 90.00 90.00
Sites, in units of the cell vectors:
Sr 0.000 0.000 0.000
Er 0.500 0.500 0.319
Er 0.500 0.500 0.681
Ag 0.000 0.000 0.500

***

The structure with the greatest stability is B.

***

## A
Below is an optimized crystal structure of TbEr2Ag2, with properties calculated at the PBE level.

## Properties
* size of the total moment: 0.000 μB per formula unit

abc: 5.237 4.860 10.832
angles: 90.00 94.20 90.00
Sites, in units of the cell vectors:
Tb 0.193 0.250 0.242
Tb 0.807 0.750 0.758
Er 0.252 0.750 0.494
Er 0.345 0.250 0.889
Er 0.655 0.750 0.111
Er 0.748 0.250 0.506
Ag 0.145 0.750 0.008
Ag 0.268 0.250 0.633
Ag 0.732 0.750 0.367
Ag 0.855 0.250 0.992

***

## B
Below is an optimized crystal structure of TbEr2Ag2, with properties calculated at the PBE level.

## Properties
* size of the total moment: 0.000 μB per formula unit

abc: 3.611 5.235 13.464
angles: 90.00 97.69 90.00
Sites, in units of the cell vectors:
Tb 0.146 0.250 0.291
Tb 0.854 0.750 0.709
Er 0.047 0.750 0.095
Er 0.235 0.750 0.469
Er 0.765 0.250 0.531
Er 0.953 0.250 0.905
Ag 0.357 0.250 0.716
Ag 0.454 0.750 0.908
Ag 0.546 0.250 0.092
Ag 0.643 0.750 0.284

***

The structure with the greatest stability is B.

***

## A
Below is an optimized crystal structure of TbEr3Ag2, with properties calculated at the PBE level.

## Properties
* size of the total moment: 0.000 μB per formula unit

abc: 8.601 8.601 8.601
angles: 131.88 72.34 129.48
Sites, in units of the cell vectors:
Tb 0.000 0.000 0.000
Tb 0.500 0.500 0.000
Er 0.021 0.250 0.771
Er 0.250 0.750 0.500
Er 0.479 0.250 0.229
Er 0.521 0.750 0.771
Er 0.750 0.250 0.500
Er 0.979 0.750 0.229
Ag 0.143 0.700 0.843
Ag 0.357 0.200 0.558
Ag 0.643 0.800 0.442
Ag 0.857 0.300 0.157

***

## B
Below is an optimized crystal structure of TbEr3Ag2, with properties calculated at the PBE level.

## Properties
* size of the total moment: 0.000 μB per formula unit

abc: 3.590 3.590 12.194
angles: 90.00 90.00 90.00
Sites, in units of the cell vectors:
Tb 0.000 0.000 0.000
Er 0.500 0.500 0.203
Er 0.500 0.500 0.500
Er 0.500 0.500 0.797
Ag 0.000 0.000 0.351
Ag 0.000 0.000 0.649

***

The structure with the greatest stability is B.

***

## A
Below is an optimized crystal structure of TbErAg, with properties calculated at the PBE level.

## Properties
* size of the total moment: 0.782 μB per formula unit

abc: 6.747 6.747 6.747
angles: 149.23 149.23 44.07
Sites, in units of the cell vectors:
Tb 0.000 0.000 0.000
Er 0.299 0.299 0.000
Ag 0.654 0.654 0.000

***

## B
Below is an optimized crystal structure of TbErAg, with properties calculated at the PBE level.

## Properties
* size of the total moment: 0.000 μB per formula unit

abc: 5.013 5.013 5.013
angles: 60.00 60.00 60.00
Sites, in units of the cell vectors:
Tb 0.000 0.000 0.000
Er 0.500 0.500 0.500
Ag 0.250 0.250 0.250

***

## C
Below is an optimized crystal structure of TbErAg, with properties calculated at the PBE level.

## Properties
* size of the total moment: 0.000 μB per formula unit

abc: 5.039 5.039 3.641
angles: 90.00 90.00 120.00
Sites, in units of the cell vectors:
Tb 0.000 0.000 0.000
Er 0.667 0.333 0.460
Ag 0.333 0.667 0.707

***

The structure with the greatest stability is A.